Compound: CePaMnGa
Source: the Alexandria database
Functional: PBE
Structure: relaxed

Cell: 6.7600 6.7600 6.7600 Å, 90.00 90.00 90.00°
With the nearest neighbours (Å) after each atom.
Positions (direct):
Ce 0.0000 0.0000 0.0000  4 Ga 2.93, 4 Pa 2.93
Ce 0.0000 0.5000 0.5000  4 Ga 2.93, 4 Pa 2.93
Ce 0.5000 0.0000 0.5000  4 Ga 2.93, 4 Pa 2.93
Ce 0.5000 0.5000 0.0000  4 Ga 2.93, 4 Pa 2.93
Pa 0.2500 0.2500 0.2500  4 Mn 2.93, 4 Ce 2.93
Pa 0.2500 0.7500 0.7500  4 Ce 2.93, 4 Mn 2.93
Pa 0.7500 0.2500 0.7500  4 Ce 2.93, 4 Mn 2.93
Pa 0.7500 0.7500 0.2500  4 Mn 2.93, 4 Ce 2.93
Mn 0.0000 0.0000 0.5000  4 Pa 2.93, 4 Ga 2.93
Mn 0.0000 0.5000 0.0000  4 Pa 2.93, 4 Ga 2.93
Mn 0.5000 0.0000 0.0000  4 Pa 2.93, 4 Ga 2.93
Mn 0.5000 0.5000 0.5000  4 Pa 2.93, 4 Ga 2.93
Ga 0.2500 0.2500 0.7500  4 Mn 2.93, 4 Ce 2.93
Ga 0.2500 0.7500 0.2500  4 Mn 2.93, 4 Ce 2.93
Ga 0.7500 0.2500 0.2500  4 Mn 2.93, 4 Ce 2.93
Ga 0.7500 0.7500 0.7500  4 Mn 2.93, 4 Ce 2.93

Total energy: -6.91 eV/atom
Fermi-level density of states: 1.378 states/eV/atom